Entry 1:
SrLiNd2 after structural relaxation, computed with PBE-GGA.

a b c (Å): 3.6168 3.6168 12.7763
angles (deg): 81.86 81.86 60.00
With the nearest neighbours (Å) after each atom.
Fractional coordinates of all 4 atoms:
Nd1 0.0956 0.0956 0.7131  3 Li 3.40, 1 Sr 3.62, 6 Nd 3.62
Nd2 0.9044 0.9044 0.2869  3 Li 3.40, 1 Sr 3.62, 6 Nd 3.62
Sr1 0.0000 0.0000 0.0000  2 Nd 3.62, 6 Sr 3.62
Li1 0.5000 0.5000 0.5000  6 Nd 3.40, 6 Li 3.62

Computed properties:
- distance to the lowest polymorph of the same formula (meV/atom) = 123
- Fermi-level density of states (states/eV/cell) = 4.40
- DFT formation energy (eV/atom) = 0.288

Entry 2:
TcWN after structural relaxation, computed with PBE-GGA.

a b c (Å): 5.4358 5.4358 5.4358
angles (deg): 90.00 90.00 90.00
With the nearest neighbours (Å) after each atom.
Fractional coordinates of all 12 atoms:
N1 0.1302 0.6302 0.8698  3 W 1.96, 1 Tc 2.03
Tc1 0.1543 0.1543 0.1543  1 N 2.03
N2 0.6302 0.8698 0.1302  3 W 1.96, 1 Tc 2.03
W1 0.3337 0.6663 0.1663  3 N 1.96
N3 0.8698 0.1302 0.6302  3 W 1.96, 1 Tc 2.03
Tc2 0.3457 0.8457 0.6543  1 N 2.03
W2 0.6663 0.1663 0.3337  3 N 1.96
W3 0.1663 0.3337 0.6663  3 N 1.96
N4 0.3698 0.3698 0.3698  3 W 1.96, 1 Tc 2.03
W4 0.8337 0.8337 0.8337  3 N 1.96
Tc3 0.8457 0.6543 0.3457  1 N 2.03
Tc4 0.6543 0.3457 0.8457  1 N 2.03

Computed properties:
- distance to the lowest polymorph of the same formula (meV/atom) = 417
- Fermi-level density of states (states/eV/cell) = 14.55
- energy relative to the elements, uncorrected (meV per atom) = 283

Entry 3:
Ag2WBr after structural relaxation, computed with PBE-GGA.

a b c (Å): 6.5813 6.5813 4.6312
angles (deg): 69.44 69.44 25.73
With the nearest neighbours (Å) after each atom.
Fractional coordinates of all 4 atoms:
Br1 0.2500 0.2500 0.2500  4 W 2.74, 2 Br 2.93
W1 0.7500 0.7500 0.7500  4 Br 2.74, 4 Ag 2.89, 2 W 2.93
Ag1 0.0417 0.0417 0.9586  2 W 2.89, 6 Ag 2.92-2.93
Ag2 0.4583 0.4583 0.5414  2 W 2.89, 6 Ag 2.92-2.93

Computed properties:
- distance to the lowest polymorph of the same formula (meV/atom) = 432
- Fermi-level density of states (states/eV/cell) = 2.76
- energy relative to the elements, uncorrected (meV per atom) = 884

Entry 4:
Er4Zn5Ni2 after structural relaxation, computed with PBE-GGA.

a b c (Å): 3.5953 6.9486 8.7634
angles (deg): 93.65 90.00 90.00
With the nearest neighbours (Å) after each atom.
Fractional coordinates of all 11 atoms:
Er1 0.5000 0.1710 0.8595  2 Ni 2.72, 2 Zn 3.04
Zn1 0.0000 0.4417 0.6933  1 Ni 2.63, 2 Zn 2.69-2.78
Ni1 0.0000 0.9350 0.3629  1 Ni 2.51, 2 Zn 2.63, 2 Er 2.72
Zn2 0.0000 0.5000 0.0000  4 Zn 2.60-2.69
Er2 0.5000 0.8290 0.1405  2 Ni 2.72, 2 Zn 3.04
Zn3 0.0000 0.8068 0.8441  2 Zn 2.60-2.78, 1 Ni 2.63
Zn4 0.0000 0.5583 0.3067  1 Ni 2.63, 2 Zn 2.69-2.78
Zn5 0.0000 0.1932 0.1559  2 Zn 2.60-2.78, 1 Ni 2.63
Er3 0.5000 0.2421 0.4425  4 Ni 2.81-2.84, 6 Zn 3.09-3.13
Er4 0.5000 0.7579 0.5575  4 Ni 2.81-2.84, 6 Zn 3.09-3.13
Ni2 0.0000 0.0650 0.6371  1 Ni 2.51, 2 Zn 2.63, 2 Er 2.72

Computed properties:
- Fermi-level density of states (states/eV/cell) = 7.54
- DFT formation energy (eV/atom) = -0.364

Entry 5:
Na2S after structural relaxation, computed with PBE-GGA.

a b c (Å): 4.6636 4.6636 6.6053
angles (deg): 90.00 90.00 120.00
With the nearest neighbours (Å) after each atom.
Fractional coordinates of all 6 atoms:
Na1 0.0000 0.0000 0.5000  6 S 3.16, 8 Na 3.16-3.30
Na2 0.3333 0.6667 0.7500  3 S 2.69
Na3 0.0000 0.0000 0.0000  6 S 3.16, 8 Na 3.16-3.30
S1 0.3333 0.6667 0.2500  3 Na 2.69
Na4 0.6667 0.3333 0.2500  3 S 2.69
S2 0.6667 0.3333 0.7500  3 Na 2.69

Computed properties:
- Fermi-level density of states (states/eV/cell) = 0.00
- energy relative to the elements, uncorrected (meV per atom) = -966

Entry 6:
Dy2B2MoRu5 after structural relaxation, computed with PBE-GGA.

a b c (Å): 3.1031 9.6458 9.6458
angles (deg): 90.00 90.00 90.00
With the nearest neighbours (Å) after each atom.
Fractional coordinates of all 20 atoms:
B1 0.0000 0.6198 0.8802  6 Ru 2.25-2.27
Dy1 0.0000 0.8244 0.6756  3 B 2.79-2.90, 10 Ru 2.85-3.01, 2 Dy 3.10
Mo1 0.0000 0.0000 0.0000  8 Ru 2.68
Dy2 0.0000 0.1756 0.3244  3 B 2.79-2.90, 10 Ru 2.85-3.01, 2 Dy 3.10
B2 0.0000 0.8802 0.3802  6 Ru 2.25-2.27
B3 0.0000 0.3802 0.1198  6 Ru 2.25-2.27
Ru1 0.5000 0.0000 0.5000  4 B 2.25
Ru2 0.5000 0.2841 0.5694  2 B 2.27
Mo2 0.0000 0.5000 0.5000  8 Ru 2.68
B4 0.0000 0.1198 0.6198  6 Ru 2.25-2.27
Ru3 0.5000 0.4306 0.2841  2 B 2.27
Ru4 0.5000 0.0694 0.7841  2 B 2.27
Dy3 0.0000 0.3244 0.8244  3 B 2.79-2.90, 10 Ru 2.85-3.01, 2 Dy 3.10
Ru5 0.5000 0.5000 0.0000  4 B 2.25
Ru6 0.5000 0.7841 0.9306  2 B 2.27
Ru7 0.5000 0.2159 0.0694  2 B 2.27
Dy4 0.0000 0.6756 0.1756  3 B 2.79-2.90, 10 Ru 2.85-3.01, 2 Dy 3.10
Ru8 0.5000 0.5694 0.7159  2 B 2.27
Ru9 0.5000 0.7159 0.4306  2 B 2.27
Ru10 0.5000 0.9306 0.2159  2 B 2.27

Computed properties:
- Fermi-level density of states (states/eV/cell) = 10.25
- DFT formation energy (eV/atom) = -0.415

Entry 7:
TaTcMo2 after structural relaxation, computed with PBE-GGA.

a b c (Å): 4.4556 2.7864 5.2514
angles (deg): 80.05 90.00 90.00
With the nearest neighbours (Å) after each atom.
Fractional coordinates of all 4 atoms:
Mo1 0.0000 0.0059 0.0041  4 Mo 2.70-2.79, 2 Ta 2.75, 2 Tc 2.76
Tc1 0.5000 0.7505 0.7475  2 Ta 2.72, 4 Mo 2.75-2.76, 2 Tc 2.79
Ta1 0.0000 0.5013 0.5037  2 Tc 2.72, 4 Mo 2.75-2.77, 2 Ta 2.79
Mo2 0.5000 0.2423 0.2448  4 Mo 2.70-2.79, 2 Tc 2.75-2.76, 2 Ta 2.77

Computed properties:
- distance to the lowest polymorph of the same formula (meV/atom) = 77
- Fermi-level density of states (states/eV/cell) = 2.65
- DFT formation energy (eV/atom) = -0.101

Entry 8:
Cs3Dy3PaTe8 after structural relaxation, computed with PBE-GGA.

a b c (Å): 8.9870 8.9869 10.4797
angles (deg): 115.42 90.00 120.00
With the nearest neighbours (Å) after each atom.
Fractional coordinates of all 15 atoms:
Dy1 0.0000 0.5000 0.5000  6 Te 3.11
Cs1 0.0000 0.5000 0.0000  6 Te 3.84
Dy2 0.5000 0.0000 0.5000  6 Te 3.11
Cs2 0.5000 0.5000 0.0000  6 Te 3.84
Te1 0.2301 0.9589 0.6888  2 Dy 3.11, 1 Pa 3.12
Te2 0.2302 0.4603 0.6888  2 Dy 3.11, 1 Pa 3.12
Te3 0.2712 0.0411 0.3112  2 Dy 3.11, 1 Pa 3.12
Te4 0.2703 0.5406 0.3112  3 Dy 3.11
Te5 0.7297 0.4594 0.6888  3 Dy 3.11
Dy3 0.5000 0.5000 0.5000  6 Te 3.11
Te6 0.7288 0.9589 0.6888  2 Dy 3.11, 1 Pa 3.12
Cs3 0.0000 0.0000 0.0000  6 Te 3.84
Te7 0.7699 0.0411 0.3112  2 Dy 3.11, 1 Pa 3.12
Pa1 0.0000 0.0000 0.5000  6 Te 3.12
Te8 0.7698 0.5397 0.3112  2 Dy 3.11, 1 Pa 3.12

Computed properties:
- Fermi-level density of states (states/eV/cell) = 3.25
- energy relative to the elements, uncorrected (meV per atom) = -1286

Entry 9:
HgSb2Br after structural relaxation, computed with PBE-GGA.

a b c (Å): 10.2958 10.2958 10.2958
angles (deg): 19.55 19.55 19.55
With the nearest neighbours (Å) after each atom.
Fractional coordinates of all 4 atoms:
Sb1 0.5001 0.5001 0.5001  3 Br 3.23, 3 Hg 3.24, 6 Sb 3.50
Br1 0.2500 0.2500 0.2500  6 Sb 3.23, 6 Br 3.50
Sb2 0.9999 0.9999 0.9999  3 Br 3.23, 3 Hg 3.24, 6 Sb 3.50
Hg1 0.7500 0.7500 0.7500  6 Sb 3.24, 6 Hg 3.50

Computed properties:
- distance to the lowest polymorph of the same formula (meV/atom) = 304
- Fermi-level density of states (states/eV/cell) = 2.65
- energy relative to the elements, uncorrected (meV per atom) = 184

Entry 10:
SnS2O after structural relaxation, computed with PBE-GGA.

a b c (Å): 4.4872 4.4872 4.4872
angles (deg): 60.00 60.00 60.00
With the nearest neighbours (Å) after each atom.
Fractional coordinates of all 4 atoms:
S1 0.7500 0.7500 0.7500  4 O 2.75, 4 Sn 2.75
S2 0.2500 0.2500 0.2500  4 O 2.75, 4 Sn 2.75
O1 0.0000 0.0000 0.0000  8 S 2.75
Sn1 0.5000 0.5000 0.5000  8 S 2.75

Computed properties:
- distance to the lowest polymorph of the same formula (meV/atom) = 573
- Fermi-level density of states (states/eV/cell) = 4.44
- energy relative to the elements, uncorrected (meV per atom) = 558

Entry 11:
Sr3ZnHg after structural relaxation, computed with PBE-GGA.

a b c (Å): 5.6643 5.6616 11.4061
angles (deg): 90.00 75.62 90.00
With the nearest neighbours (Å) after each atom.
Fractional coordinates of all 10 atoms:
Zn1 0.6662 0.7500 0.3159  8 Sr 3.37-3.49
Sr1 0.7494 0.2500 0.1495  2 Zn 3.38, 2 Hg 3.39
Zn2 0.9821 0.2500 0.6841  8 Sr 3.37-3.49
Sr2 0.5742 0.2500 0.4999  4 Hg 3.47, 4 Zn 3.48-3.49, 2 Sr 3.87
Sr3 0.8989 0.7500 0.8505  2 Zn 3.38, 2 Hg 3.39
Sr4 0.0741 0.7500 0.5001  4 Hg 3.47, 4 Zn 3.48-3.49, 2 Sr 3.87
Sr5 0.3992 0.2500 0.8500  2 Zn 3.37, 2 Hg 3.38
Hg1 0.1653 0.2500 0.3178  8 Sr 3.38-3.47
Hg2 0.4831 0.7500 0.6822  8 Sr 3.38-3.47
Sr6 0.2492 0.7500 0.1500  2 Zn 3.37, 2 Hg 3.38

Computed properties:
- distance to the lowest polymorph of the same formula (meV/atom) = 0
- Fermi-level density of states (states/eV/cell) = 7.43
- DFT formation energy (eV/atom) = -0.299

Entry 12:
NbMoPCl2 after structural relaxation, computed with PBE-GGA.

a b c (Å): 4.8054 4.8054 5.0466
angles (deg): 90.00 90.00 90.00
With the nearest neighbours (Å) after each atom.
Fractional coordinates of all 5 atoms:
Mo1 0.5000 0.5000 0.5000  4 P 3.40, 8 Cl 3.48
Nb1 0.0000 0.0000 0.0000  4 Cl 2.40, 2 P 2.52
P1 0.0000 0.0000 0.5000  2 Nb 2.52
Cl1 0.0000 0.5000 0.0000  2 Nb 2.40
Cl2 0.5000 0.0000 0.0000  2 Nb 2.40

Computed properties:
- distance to the lowest polymorph of the same formula (meV/atom) = 0
- Fermi-level density of states (states/eV/cell) = 2.14
- energy relative to the elements, uncorrected (meV per atom) = 498

Calculated values (μB/cell) of magnetic moment for the records, taken in order: 0.0 0.0 1.0 0.0 0.0 0.0 0.0 1.0 0.0 1.2 0.0 5.1.
Calculated values (Ha/atom) of E for the records, taken in order: -0.11007 -0.37723 -0.15429 -0.13426 -0.11837 -0.30841 -0.40685 -0.17219 -0.08714 -0.13768 -0.05966 -0.20223.